Entry 1:
Material: TbPr2Cu2Ge2
Method: DFT, GGA-PBE
State: relaxed

```
7
Lattice="4.2678 0.0000 0.0000 2.1339 3.6960 0.0000 2.1339 1.2320 10.4524" Properties=species:S:1:pos:R:3 pbc="T T T"
Ge 2.1339 1.2320 1.8606
Ge 6.4017 3.6960 8.5918
Cu 4.2678 2.4640 8.7093
Cu 4.2678 2.4640 1.7431
Pr 2.1339 1.2320 6.6800
Pr 6.4017 3.6960 3.7723
Tb 0.0000 0.0000 0.0000
```

- Energy of formation: -502 meV/atom
- Total magnetization: 0.000 μB/atom

Entry 2:
Material: PrThCu2Ge2
Method: DFT, GGA-PBE
State: relaxed

```
6
Lattice="-3.0497 -2.5186 -1.5520 4.0730 -1.1779 -0.2759 -0.5915 -3.7382 7.2284" Properties=species:S:1:pos:R:3 pbc="T T T"
Cu 1.2615 -4.3882 4.6421
Pr 0.0000 0.0000 0.0000
Th -0.2957 -1.8691 3.6142
Cu -0.8297 -3.0465 0.7583
Ge -1.1183 -4.8700 4.2843
Ge 1.5500 -2.5647 1.1161
```

- Energy of formation: -639 meV/atom
- Total magnetization: 0.000 μB/atom

Entry 3:
Material: PrThCuGe
Method: DFT, GGA-PBE
State: relaxed

```
4
Lattice="-4.1859 2.9449 0.6378 -4.5102 -2.1657 1.2525 -1.9720 0.6923 4.7152" Properties=species:S:1:pos:R:3 pbc="T T T"
Ge -2.6670 0.3679 1.6514
Pr -5.3341 0.7357 3.3028
Th 0.0000 0.0000 0.0000
Cu -8.0011 1.1036 4.9542
```

- Energy of formation: -350 meV/atom
- Total magnetization: 0.000 μB/atom

Entry 4:
Material: PrTmCuGe
Method: DFT, GGA-PBE
State: relaxed

```
4
Lattice="5.0498 0.0000 0.0000 2.5249 4.3733 0.0000 2.5249 1.4578 4.1231" Properties=species:S:1:pos:R:3 pbc="T T T"
Pr 0.0000 0.0000 0.0000
Tm 5.0498 2.9155 2.0616
Cu 7.5747 4.3733 3.0924
Ge 2.5249 1.4578 1.0308
```

- Energy of formation: -451 meV/atom
- Total magnetization: 0.000 μB/atom